# 1
# InSe, optimized geometry, DFT PBE
# Raw formation energy (eV per atom): -0.27
# Total magnetization (μB per formula unit): 0.0
# Calculated density (g cm⁻³): 4.30
# DOS(E_F) (states/eV/atom): 0.204
data_InSe
_chemical_formula_sum 'In6 Se6'
_symmetry_space_group_name_H-M 'P 1'
_symmetry_Int_Tables_number 1
_cell_length_a 11.3109
_cell_length_b 11.3109
_cell_length_c 4.0488
_cell_angle_alpha 90.00
_cell_angle_beta 90.00
_cell_angle_gamma 120.00
loop_
_symmetry_equiv_pos_as_xyz
'x,y,z'
loop_
_atom_site_label
_atom_site_type_symbol
_atom_site_fract_x
_atom_site_fract_y
_atom_site_fract_z
In1 In 0.0309 0.4018 0.2500
In2 In 0.3709 0.9691 0.2500
In3 In 0.4018 0.3709 0.7500
In4 In 0.5982 0.6291 0.2500
In5 In 0.6291 0.0309 0.7500
In6 In 0.9691 0.5982 0.7500
Se1 Se 0.1914 0.4186 0.7500
Se2 Se 0.2271 0.8086 0.7500
Se3 Se 0.4186 0.2271 0.2500
Se4 Se 0.5814 0.7729 0.7500
Se5 Se 0.7729 0.1914 0.2500
Se6 Se 0.8086 0.5814 0.2500



# 2
# OsRh3, optimized geometry, DFT PBE
# Total magnetization (μB per formula unit): 0.0
# Calculated density (g cm⁻³): 14.59
# Formation energy from the elements (kcal/mol of atoms): 1.4
# DOS(E_F) (states/eV/atom): 1.378
data_OsRh3
_chemical_formula_sum 'Os2 Rh6'
_symmetry_space_group_name_H-M 'P 1'
_symmetry_Int_Tables_number 1
_cell_length_a 2.7318
_cell_length_b 8.7847
_cell_length_c 4.7329
_cell_angle_alpha 90.00
_cell_angle_beta 90.00
_cell_angle_gamma 90.00
loop_
_symmetry_equiv_pos_as_xyz
'x,y,z'
loop_
_atom_site_label
_atom_site_type_symbol
_atom_site_fract_x
_atom_site_fract_y
_atom_site_fract_z
Os1 Os 0.0000 0.0000 0.0000
Os2 Os 0.5000 0.5000 0.5000
Rh1 Rh 0.0000 0.2536 0.3347
Rh2 Rh 0.0000 0.5000 0.9956
Rh3 Rh 0.0000 0.7464 0.3347
Rh4 Rh 0.5000 0.0000 0.4956
Rh5 Rh 0.5000 0.2464 0.8347
Rh6 Rh 0.5000 0.7536 0.8347



# 3
# Nd8InPd2, optimized geometry, DFT PBE
# Total magnetization (μB per formula unit): 0.0
# Offset from the most stable computed form (meV per atom): 0.0
# Calculated density (g cm⁻³): 7.45
# Formation energy from the elements (kcal/mol of atoms): -8.1
# DOS(E_F) (states/eV/atom): 1.071
data_Nd8InPd2
_chemical_formula_sum 'Nd8 In1 Pd2'
_symmetry_space_group_name_H-M 'P 1'
_symmetry_Int_Tables_number 1
_cell_length_a 9.2216
_cell_length_b 9.2216
_cell_length_c 8.0536
_cell_angle_alpha 113.68
_cell_angle_beta 113.68
_cell_angle_gamma 32.06
loop_
_symmetry_equiv_pos_as_xyz
'x,y,z'
loop_
_atom_site_label
_atom_site_type_symbol
_atom_site_fract_x
_atom_site_fract_y
_atom_site_fract_z
Nd1 Nd 0.0484 0.0484 0.2621
Nd2 Nd 0.1852 0.1852 0.7880
Nd3 Nd 0.3175 0.3175 0.5250
Nd4 Nd 0.4060 0.4060 0.0352
Nd5 Nd 0.5940 0.5940 0.9648
Nd6 Nd 0.6825 0.6825 0.4750
Nd7 Nd 0.8148 0.8148 0.2120
Nd8 Nd 0.9516 0.9516 0.7379
In1 In 0.5000 0.5000 0.5000
Pd1 Pd 0.1912 0.1912 0.1506
Pd2 Pd 0.8088 0.8088 0.8494



# 4
# CePrZr, optimized geometry, DFT PBE
# Total magnetization (μB per formula unit): 0.5
# Offset from the most stable computed form (meV per atom): 29.7
# Calculated density (g cm⁻³): 7.19
# Formation energy from the elements (kcal/mol of atoms): 3.3
# DOS(E_F) (states/eV/atom): 1.877
data_CePrZr
_chemical_formula_sum 'Ce2 Pr2 Zr2'
_symmetry_space_group_name_H-M 'P 1'
_symmetry_Int_Tables_number 1
_cell_length_a 3.3600
_cell_length_b 3.3600
_cell_length_c 15.2338
_cell_angle_alpha 90.00
_cell_angle_beta 90.00
_cell_angle_gamma 90.00
loop_
_symmetry_equiv_pos_as_xyz
'x,y,z'
loop_
_atom_site_label
_atom_site_type_symbol
_atom_site_fract_x
_atom_site_fract_y
_atom_site_fract_z
Ce1 Ce 0.0000 0.0000 0.0000
Ce2 Ce 0.5000 0.5000 0.5000
Pr1 Pr 0.0000 0.0000 0.6819
Pr2 Pr 0.5000 0.5000 0.1819
Zr1 Zr 0.0000 0.0000 0.3470
Zr2 Zr 0.5000 0.5000 0.8470



# 5
# MoWAu2, optimized geometry, DFT PBE
# Total magnetization (μB per formula unit): 0.0
# Offset from the most stable computed form (meV per atom): 200.1
# Calculated density (g cm⁻³): 16.72
# Formation energy from the elements (kcal/mol of atoms): 9.3
# DOS(E_F) (states/eV/atom): 0.689
data_MoWAu2
_chemical_formula_sum 'Mo3 W3 Au6'
_symmetry_space_group_name_H-M 'P 1'
_symmetry_Int_Tables_number 1
_cell_length_a 2.8430
_cell_length_b 2.8430
_cell_length_c 28.6745
_cell_angle_alpha 90.00
_cell_angle_beta 90.00
_cell_angle_gamma 120.00
loop_
_symmetry_equiv_pos_as_xyz
'x,y,z'
loop_
_atom_site_label
_atom_site_type_symbol
_atom_site_fract_x
_atom_site_fract_y
_atom_site_fract_z
Mo1 Mo 0.0000 0.0000 0.0000
Mo2 Mo 0.3333 0.6667 0.6667
Mo3 Mo 0.6667 0.3333 0.3333
W1 W 0.0000 0.0000 0.5000
W2 W 0.3333 0.6667 0.1667
W3 W 0.6667 0.3333 0.8333
Au1 Au 0.0000 0.0000 0.2501
Au2 Au 0.0000 0.0000 0.7499
Au3 Au 0.3333 0.6667 0.4165
Au4 Au 0.3333 0.6667 0.9168
Au5 Au 0.6667 0.3333 0.0832
Au6 Au 0.6667 0.3333 0.5835



# 6
# Y3ZrAl, optimized geometry, DFT PBE
# Total magnetization (μB per formula unit): 3.5
# Offset from the most stable computed form (meV per atom): 0.0
# Calculated density (g cm⁻³): 3.90
# Formation energy from the elements (kcal/mol of atoms): 13.1
# DOS(E_F) (states/eV/atom): 3.193
data_Y3ZrAl
_chemical_formula_sum 'Y3 Zr1 Al1'
_symmetry_space_group_name_H-M 'P 1'
_symmetry_Int_Tables_number 1
_cell_length_a 5.4732
_cell_length_b 5.4732
_cell_length_c 5.4732
_cell_angle_alpha 90.00
_cell_angle_beta 90.00
_cell_angle_gamma 90.00
loop_
_symmetry_equiv_pos_as_xyz
'x,y,z'
loop_
_atom_site_label
_atom_site_type_symbol
_atom_site_fract_x
_atom_site_fract_y
_atom_site_fract_z
Y1 Y 0.0000 0.0000 0.5000
Y2 Y 0.0000 0.5000 0.0000
Y3 Y 0.5000 0.0000 0.0000
Zr1 Zr 0.5000 0.5000 0.5000
Al1 Al 0.0000 0.0000 0.0000



# 7
# TlCd2As, optimized geometry, DFT PBE
# Total magnetization (μB per formula unit): 0.0
# Offset from the most stable computed form (meV per atom): 109.6
# Calculated density (g cm⁻³): 8.55
# Formation energy from the elements (kcal/mol of atoms): 2.8
# DOS(E_F) (states/eV/atom): 0.593
data_TlCd2As
_chemical_formula_sum 'Tl1 Cd2 As1'
_symmetry_space_group_name_H-M 'P 1'
_symmetry_Int_Tables_number 1
_cell_length_a 3.2930
_cell_length_b 3.2930
_cell_length_c 9.0245
_cell_angle_alpha 90.00
_cell_angle_beta 90.00
_cell_angle_gamma 90.00
loop_
_symmetry_equiv_pos_as_xyz
'x,y,z'
loop_
_atom_site_label
_atom_site_type_symbol
_atom_site_fract_x
_atom_site_fract_y
_atom_site_fract_z
Tl1 Tl 0.0000 0.0000 0.0000
Cd1 Cd 0.0000 0.0000 0.4737
Cd2 Cd 0.5000 0.5000 0.7105
As1 As 0.5000 0.5000 0.2625



# 8
# InGe2Bi, optimized geometry, DFT PBE
# Total magnetization (μB per formula unit): 0.0
# Offset from the most stable computed form (meV per atom): 0.0
# Calculated density (g cm⁻³): 6.07
# Formation energy from the elements (kcal/mol of atoms): 3.8
# DOS(E_F) (states/eV/atom): 0.089
data_InGe2Bi
_chemical_formula_sum 'In4 Ge8 Bi4'
_symmetry_space_group_name_H-M 'P 1'
_symmetry_Int_Tables_number 1
_cell_length_a 6.3510
_cell_length_b 6.3510
_cell_length_c 12.7253
_cell_angle_alpha 90.00
_cell_angle_beta 90.00
_cell_angle_gamma 90.00
loop_
_symmetry_equiv_pos_as_xyz
'x,y,z'
loop_
_atom_site_label
_atom_site_type_symbol
_atom_site_fract_x
_atom_site_fract_y
_atom_site_fract_z
In1 In 0.0000 0.0000 0.0000
In2 In 0.0000 0.5000 0.2500
In3 In 0.5000 0.0000 0.7500
In4 In 0.5000 0.5000 0.5000
Ge1 Ge 0.2347 0.2500 0.1250
Ge2 Ge 0.2500 0.7347 0.3750
Ge3 Ge 0.2500 0.7653 0.8750
Ge4 Ge 0.2653 0.2500 0.6250
Ge5 Ge 0.7347 0.7500 0.6250
Ge6 Ge 0.7500 0.2347 0.8750
Ge7 Ge 0.7500 0.2653 0.3750
Ge8 Ge 0.7653 0.7500 0.1250
Bi1 Bi 0.0000 0.0000 0.5000
Bi2 Bi 0.0000 0.5000 0.7500
Bi3 Bi 0.5000 0.0000 0.2500
Bi4 Bi 0.5000 0.5000 0.0000



# 9
# La5UN8, optimized geometry, DFT PBE
# Raw formation energy (eV per atom): -1.04
# Total magnetization (μB per formula unit): 1.0
# Calculated density (g cm⁻³): 7.89
# DOS(E_F) (states/eV/atom): 0.327
data_La5UN8
_chemical_formula_sum 'La5 U1 N8'
_symmetry_space_group_name_H-M 'P 1'
_symmetry_Int_Tables_number 1
_cell_length_a 6.5853
_cell_length_b 6.5853
_cell_length_c 6.5853
_cell_angle_alpha 109.22
_cell_angle_beta 109.22
_cell_angle_gamma 109.97
loop_
_symmetry_equiv_pos_as_xyz
'x,y,z'
loop_
_atom_site_label
_atom_site_type_symbol
_atom_site_fract_x
_atom_site_fract_y
_atom_site_fract_z
La1 La 0.0000 0.0000 0.0000
La2 La 0.1342 0.2414 0.6461
La3 La 0.5119 0.8658 0.1072
La4 La 0.5953 0.4881 0.3539
La5 La 0.7586 0.4047 0.8928
U1 U 0.2500 0.7500 0.5000
N1 N 0.1883 0.4693 0.1149
N2 N 0.3544 0.0734 0.8851
N3 N 0.4592 0.0876 0.4528
N4 N 0.5307 0.6456 0.7190
N5 N 0.6348 0.0063 0.5472
N6 N 0.9124 0.3652 0.3716
N7 N 0.9266 0.8117 0.2810
N8 N 0.9937 0.5408 0.6284



# 10
# AsPb5, optimized geometry, DFT PBE
# Total magnetization (μB per formula unit): 0.0
# Offset from the most stable computed form (meV per atom): 274.7
# Calculated density (g cm⁻³): 9.70
# Formation energy from the elements (kcal/mol of atoms): 7.7
# DOS(E_F) (states/eV/atom): 0.853
data_AsPb5
_chemical_formula_sum 'As1 Pb5'
_symmetry_space_group_name_H-M 'P 1'
_symmetry_Int_Tables_number 1
_cell_length_a 6.4545
_cell_length_b 6.4545
_cell_length_c 6.4545
_cell_angle_alpha 60.00
_cell_angle_beta 60.00
_cell_angle_gamma 60.00
loop_
_symmetry_equiv_pos_as_xyz
'x,y,z'
loop_
_atom_site_label
_atom_site_type_symbol
_atom_site_fract_x
_atom_site_fract_y
_atom_site_fract_z
As1 As 0.0000 0.0000 0.0000
Pb1 Pb 0.3749 0.3749 0.3749
Pb2 Pb 0.3749 0.3749 0.8753
Pb3 Pb 0.3749 0.8753 0.3749
Pb4 Pb 0.7500 0.7500 0.7500
Pb5 Pb 0.8753 0.3749 0.3749



# 11
# ZrTi2Se, optimized geometry, DFT PBE
# Raw formation energy (eV per atom): -0.19
# Total magnetization (μB per formula unit): 0.0
# Calculated density (g cm⁻³): 5.55
# DOS(E_F) (states/eV/atom): 1.350
data_ZrTi2Se
_chemical_formula_sum 'Zr4 Ti8 Se4'
_symmetry_space_group_name_H-M 'P 1'
_symmetry_Int_Tables_number 1
_cell_length_a 7.7427
_cell_length_b 7.7427
_cell_length_c 5.3093
_cell_angle_alpha 90.00
_cell_angle_beta 90.00
_cell_angle_gamma 90.00
loop_
_symmetry_equiv_pos_as_xyz
'x,y,z'
loop_
_atom_site_label
_atom_site_type_symbol
_atom_site_fract_x
_atom_site_fract_y
_atom_site_fract_z
Zr1 Zr 0.0000 0.0000 0.0000
Zr2 Zr 0.0000 0.5000 0.2500
Zr3 Zr 0.5000 0.0000 0.7500
Zr4 Zr 0.5000 0.5000 0.5000
Ti1 Ti 0.1870 0.7500 0.6250
Ti2 Ti 0.2500 0.1870 0.3750
Ti3 Ti 0.2500 0.3130 0.8750
Ti4 Ti 0.3130 0.7500 0.1250
Ti5 Ti 0.6870 0.2500 0.1250
Ti6 Ti 0.7500 0.6870 0.8750
Ti7 Ti 0.7500 0.8130 0.3750
Ti8 Ti 0.8130 0.2500 0.6250
Se1 Se 0.0000 0.0000 0.5000
Se2 Se 0.0000 0.5000 0.7500
Se3 Se 0.5000 0.0000 0.2500
Se4 Se 0.5000 0.5000 0.0000



# 12
# Pr3Ga2Pt3, optimized geometry, DFT PBE
# Total magnetization (μB per formula unit): 0.0
# Calculated density (g cm⁻³): 10.57
# Formation energy from the elements (kcal/mol of atoms): -23.0
# DOS(E_F) (states/eV/atom): 0.825
data_Pr3Ga2Pt3
_chemical_formula_sum 'Pr6 Ga4 Pt6'
_symmetry_space_group_name_H-M 'P 1'
_symmetry_Int_Tables_number 1
_cell_length_a 5.9356
_cell_length_b 5.9356
_cell_length_c 14.7914
_cell_angle_alpha 90.00
_cell_angle_beta 90.00
_cell_angle_gamma 136.21
loop_
_symmetry_equiv_pos_as_xyz
'x,y,z'
loop_
_atom_site_label
_atom_site_type_symbol
_atom_site_fract_x
_atom_site_fract_y
_atom_site_fract_z
Pr1 Pr 0.0820 0.9180 0.6058
Pr2 Pr 0.0820 0.9180 0.8942
Pr3 Pr 0.3684 0.6316 0.7500
Pr4 Pr 0.6316 0.3684 0.2500
Pr5 Pr 0.9180 0.0820 0.1058
Pr6 Pr 0.9180 0.0820 0.3942
Ga1 Ga 0.2154 0.7846 0.0920
Ga2 Ga 0.2154 0.7846 0.4080
Ga3 Ga 0.7846 0.2154 0.5920
Ga4 Ga 0.7846 0.2154 0.9080
Pt1 Pt 0.3313 0.6687 0.2500
Pt2 Pt 0.3850 0.6150 0.5442
Pt3 Pt 0.3850 0.6150 0.9558
Pt4 Pt 0.6150 0.3850 0.0442
Pt5 Pt 0.6150 0.3850 0.4558
Pt6 Pt 0.6687 0.3313 0.7500